(a)
! PrPuAg4 (PBE, relaxed); values from VASP
&SYSTEM
  ibrav = 0, nat = 6, ntyp = 3
/
ATOMIC_SPECIES
Pr 140.91 Pr.upf
Pu 244.00 Pu.upf
Ag 107.87 Ag.upf
ATOMIC_POSITIONS crystal
Pr 0.000 0.000 0.000
Pu 0.250 0.250 0.250
Ag 0.126 0.625 0.625
Ag 0.625 0.126 0.625
Ag 0.625 0.625 0.126
Ag 0.625 0.625 0.625
CELL_PARAMETERS angstrom
0.000 4.080 4.080
4.080 0.000 4.080
4.080 4.080 0.000
! crystal system = cubic
! magnetic moment = 1.06 μB per atom

(b)
! PrPuAg4 (PBE, relaxed); values from VASP
&SYSTEM
  ibrav = 0, nat = 6, ntyp = 3
/
ATOMIC_SPECIES
Pr 140.91 Pr.upf
Pu 244.00 Pu.upf
Ag 107.87 Ag.upf
ATOMIC_POSITIONS crystal
Pr 0.000 0.000 0.000
Pu 0.000 0.500 0.500
Ag 0.500 0.000 0.335
Ag 0.500 0.000 0.665
Ag 0.500 0.500 0.169
Ag 0.500 0.500 0.831
CELL_PARAMETERS angstrom
3.268 0.000 0.000
0.000 4.931 0.000
0.000 0.000 8.533
! crystal system = orthorhombic
! magnetic moment = 1.01 μB per atom

Of them, the most stable is (b) and the least stable is (a).

(a)
! Pr5Ag2Rh2 (PBE, relaxed); values from VASP
&SYSTEM
  ibrav = 0, nat = 18, ntyp = 3
/
ATOMIC_SPECIES
Pr 140.91 Pr.upf
Ag 107.87 Ag.upf
Rh 102.91 Rh.upf
ATOMIC_POSITIONS crystal
Pr 0.162 0.076 0.238
Pr 0.162 0.424 0.586
Pr 0.206 0.527 0.002
Pr 0.206 0.704 0.180
Pr 0.524 0.027 0.820
Pr 0.524 0.204 0.998
Pr 0.571 0.472 0.599
Pr 0.838 0.576 0.414
Pr 0.838 0.924 0.762
Pr 0.873 0.972 0.401
Ag 0.528 0.101 0.318
Ag 0.528 0.711 0.928
Ag 0.783 0.211 0.682
Ag 0.783 0.601 0.072
Rh 0.009 0.314 0.195
Rh 0.118 0.814 0.805
Rh 0.300 0.300 0.000
Rh 0.300 0.800 0.500
CELL_PARAMETERS angstrom
-9.999 3.261 3.744
9.999 -3.261 3.744
9.999 3.261 -3.744
! crystal system = orthorhombic
! magnetic moment = 0.00 μB per atom

(b)
! Pr5Ag2Rh2 (PBE, relaxed); values from VASP
&SYSTEM
  ibrav = 0, nat = 18, ntyp = 3
/
ATOMIC_SPECIES
Pr 140.91 Pr.upf
Ag 107.87 Ag.upf
Rh 102.91 Rh.upf
ATOMIC_POSITIONS crystal
Pr 0.000 0.000 0.000
Pr 0.045 0.704 0.671
Pr 0.204 0.545 0.171
Pr 0.296 0.955 0.671
Pr 0.455 0.796 0.171
Pr 0.500 0.500 0.500
Pr 0.545 0.204 0.829
Pr 0.704 0.045 0.329
Pr 0.796 0.455 0.829
Pr 0.955 0.296 0.329
Ag 0.212 0.212 0.000
Ag 0.288 0.288 0.500
Ag 0.712 0.712 0.500
Ag 0.788 0.788 0.000
Rh 0.133 0.867 0.368
Rh 0.367 0.633 0.868
Rh 0.633 0.367 0.132
Rh 0.867 0.133 0.632
CELL_PARAMETERS angstrom
8.020 -3.890 0.000
8.020 3.890 0.000
0.000 0.000 7.896
! crystal system = orthorhombic
! magnetic moment = 0.00 μB per atom

Of them, the most stable is (b) and the least stable is (a).

(a)
! Pr12AgRh6 (PBE, relaxed); values from VASP
&SYSTEM
  ibrav = 0, nat = 19, ntyp = 3
/
ATOMIC_SPECIES
Pr 140.91 Pr.upf
Ag 107.87 Ag.upf
Rh 102.91 Rh.upf
ATOMIC_POSITIONS crystal
Pr 0.120 0.815 0.305
Pr 0.185 0.305 0.491
Pr 0.185 0.695 0.880
Pr 0.305 0.120 0.815
Pr 0.305 0.491 0.185
Pr 0.491 0.185 0.305
Pr 0.509 0.815 0.695
Pr 0.695 0.509 0.815
Pr 0.695 0.880 0.185
Pr 0.815 0.305 0.120
Pr 0.815 0.695 0.509
Pr 0.880 0.185 0.695
Ag 0.000 0.000 0.000
Rh 0.133 0.633 0.500
Rh 0.367 0.500 0.867
Rh 0.500 0.133 0.633
Rh 0.500 0.867 0.367
Rh 0.633 0.500 0.133
Rh 0.867 0.367 0.500
CELL_PARAMETERS angstrom
-5.137 5.137 5.137
5.137 -5.137 5.137
5.137 5.137 -5.137
! crystal system = cubic
! magnetic moment = 0.00 μB per atom

(b)
! Pr12AgRh6 (PBE, relaxed); values from VASP
&SYSTEM
  ibrav = 0, nat = 19, ntyp = 3
/
ATOMIC_SPECIES
Pr 140.91 Pr.upf
Ag 107.87 Ag.upf
Rh 102.91 Rh.upf
ATOMIC_POSITIONS crystal
Pr 0.067 0.668 0.920
Pr 0.080 0.933 0.332
Pr 0.176 0.416 0.569
Pr 0.332 0.080 0.933
Pr 0.416 0.569 0.176
Pr 0.431 0.824 0.584
Pr 0.569 0.176 0.416
Pr 0.584 0.431 0.824
Pr 0.668 0.920 0.067
Pr 0.824 0.584 0.431
Pr 0.920 0.067 0.668
Pr 0.933 0.332 0.080
Ag 0.000 0.000 0.000
Rh 0.138 0.614 0.309
Rh 0.309 0.138 0.614
Rh 0.386 0.691 0.862
Rh 0.614 0.309 0.138
Rh 0.691 0.862 0.386
Rh 0.862 0.386 0.691
CELL_PARAMETERS angstrom
6.646 3.837 3.833
-6.646 3.837 3.833
0.000 -7.674 3.833
! crystal system = trigonal
! magnetic moment = 0.00 μB per atom

Of them, the most stable is (a) and the least stable is (b).

(a)
! Pr5AgRh2 (PBE, relaxed); values from VASP
&SYSTEM
  ibrav = 0, nat = 16, ntyp = 3
/
ATOMIC_SPECIES
Pr 140.91 Pr.upf
Ag 107.87 Ag.upf
Rh 102.91 Rh.upf
ATOMIC_POSITIONS crystal
Pr 0.000 0.000 0.000
Pr 0.027 0.527 0.824
Pr 0.202 0.027 0.500
Pr 0.298 0.798 0.824
Pr 0.473 0.298 0.500
Pr 0.500 0.500 0.000
Pr 0.527 0.702 0.500
Pr 0.702 0.202 0.176
Pr 0.798 0.973 0.500
Pr 0.973 0.473 0.176
Ag 0.250 0.250 0.000
Ag 0.750 0.750 0.000
Rh 0.136 0.364 0.500
Rh 0.364 0.864 0.227
Rh 0.636 0.136 0.773
Rh 0.864 0.636 0.500
CELL_PARAMETERS angstrom
-4.011 4.011 6.946
4.011 -4.011 6.946
4.011 4.011 -6.946
! crystal system = tetragonal
! magnetic moment = 0.00 μB per atom

(b)
! Pr5AgRh2 (PBE, relaxed); values from VASP
&SYSTEM
  ibrav = 0, nat = 16, ntyp = 3
/
ATOMIC_SPECIES
Pr 140.91 Pr.upf
Ag 107.87 Ag.upf
Rh 102.91 Rh.upf
ATOMIC_POSITIONS crystal
Pr 0.057 0.943 0.617
Pr 0.057 0.943 0.883
Pr 0.245 0.755 0.250
Pr 0.351 0.649 0.549
Pr 0.351 0.649 0.951
Pr 0.649 0.351 0.049
Pr 0.649 0.351 0.451
Pr 0.755 0.245 0.750
Pr 0.943 0.057 0.117
Pr 0.943 0.057 0.383
Ag 0.263 0.737 0.750
Ag 0.737 0.263 0.250
Rh 0.157 0.843 0.060
Rh 0.157 0.843 0.440
Rh 0.843 0.157 0.560
Rh 0.843 0.157 0.940
CELL_PARAMETERS angstrom
2.943 -6.228 0.000
2.943 6.228 0.000
0.000 0.000 14.435
! crystal system = orthorhombic
! magnetic moment = 0.00 μB per atom

Of them, the most stable is (a) and the least stable is (b).

(a)
! Pr4AgRh2 (PBE, relaxed); values from VASP
&SYSTEM
  ibrav = 0, nat = 7, ntyp = 3
/
ATOMIC_SPECIES
Pr 140.91 Pr.upf
Ag 107.87 Ag.upf
Rh 102.91 Rh.upf
ATOMIC_POSITIONS crystal
Pr 0.115 0.115 0.115
Pr 0.297 0.297 0.297
Pr 0.703 0.703 0.703
Pr 0.885 0.885 0.885
Ag 0.500 0.500 0.500
Rh 0.406 0.406 0.406
Rh 0.594 0.594 0.594
CELL_PARAMETERS angstrom
2.339 1.351 10.396
-2.339 1.351 10.396
0.000 -2.701 10.396
! crystal system = trigonal
! magnetic moment = 0.00 μB per atom

(b)
! Pr4AgRh2 (PBE, relaxed); values from VASP
&SYSTEM
  ibrav = 0, nat = 14, ntyp = 3
/
ATOMIC_SPECIES
Pr 140.91 Pr.upf
Ag 107.87 Ag.upf
Rh 102.91 Rh.upf
ATOMIC_POSITIONS crystal
Pr 0.013 0.393 0.253
Pr 0.140 0.760 0.747
Pr 0.143 0.263 0.753
Pr 0.240 0.987 0.380
Pr 0.510 0.390 0.247
Pr 0.607 0.860 0.620
Pr 0.610 0.857 0.120
Pr 0.737 0.490 0.880
Ag 0.000 0.000 0.000
Ag 0.750 0.250 0.500
Rh 0.245 0.625 0.120
Rh 0.375 0.495 0.620
Rh 0.505 0.125 0.880
Rh 0.875 0.755 0.380
CELL_PARAMETERS angstrom
-4.594 4.594 4.471
4.594 -4.594 4.471
4.594 4.594 -4.471
! crystal system = tetragonal
! magnetic moment = 0.00 μB per atom

Of them, the most stable is (b) and the least stable is (a).

(a)
! Pr6AgRh2 (PBE, relaxed); values from VASP
&SYSTEM
  ibrav = 0, nat = 18, ntyp = 3
/
ATOMIC_SPECIES
Pr 140.91 Pr.upf
Ag 107.87 Ag.upf
Rh 102.91 Rh.upf
ATOMIC_POSITIONS crystal
Pr 0.031 0.228 0.803
Pr 0.178 0.291 0.468
Pr 0.178 0.709 0.887
Pr 0.330 0.024 0.694
Pr 0.330 0.635 0.306
Pr 0.426 0.228 0.197
Pr 0.574 0.772 0.803
Pr 0.670 0.365 0.694
Pr 0.670 0.976 0.306
Pr 0.822 0.291 0.113
Pr 0.822 0.709 0.532
Pr 0.969 0.772 0.197
Ag 0.000 0.000 0.000
Ag 0.500 0.500 0.000
Rh 0.134 0.634 0.500
Rh 0.338 0.000 0.338
Rh 0.662 0.000 0.662
Rh 0.866 0.366 0.500
CELL_PARAMETERS angstrom
-4.791 5.052 5.376
4.791 -5.052 5.376
4.791 5.052 -5.376
! crystal system = orthorhombic
! magnetic moment = 0.00 μB per atom

(b)
! Pr6AgRh2 (PBE, relaxed); values from VASP
&SYSTEM
  ibrav = 0, nat = 9, ntyp = 3
/
ATOMIC_SPECIES
Pr 140.91 Pr.upf
Ag 107.87 Ag.upf
Rh 102.91 Rh.upf
ATOMIC_POSITIONS crystal
Pr 0.039 0.039 0.341
Pr 0.289 0.289 0.666
Pr 0.345 0.345 0.104
Pr 0.655 0.655 0.896
Pr 0.711 0.711 0.334
Pr 0.961 0.961 0.659
Ag 0.000 0.000 0.000
Rh 0.381 0.381 0.397
Rh 0.619 0.619 0.603
CELL_PARAMETERS angstrom
5.179 -2.643 0.000
5.179 2.643 0.000
-1.512 0.000 9.126
! crystal system = monoclinic
! magnetic moment = 0.00 μB per atom

Of them, the most stable is (a) and the least stable is (b).

(a)
! Pr6AgRu2 (PBE, relaxed); values from VASP
&SYSTEM
  ibrav = 0, nat = 18, ntyp = 3
/
ATOMIC_SPECIES
Pr 140.91 Pr.upf
Ag 107.87 Ag.upf
Ru 101.07 Ru.upf
ATOMIC_POSITIONS crystal
Pr 0.039 0.236 0.803
Pr 0.181 0.283 0.464
Pr 0.181 0.717 0.898
Pr 0.327 0.012 0.685
Pr 0.327 0.642 0.315
Pr 0.432 0.236 0.197
Pr 0.568 0.764 0.803
Pr 0.673 0.358 0.685
Pr 0.673 0.988 0.315
Pr 0.819 0.283 0.102
Pr 0.819 0.717 0.536
Pr 0.961 0.764 0.197
Ag 0.000 0.000 0.000
Ag 0.500 0.500 0.000
Ru 0.123 0.623 0.500
Ru 0.325 0.000 0.325
Ru 0.675 0.000 0.675
Ru 0.877 0.377 0.500
CELL_PARAMETERS angstrom
-4.893 4.985 5.305
4.893 -4.985 5.305
4.893 4.985 -5.305
! crystal system = orthorhombic
! magnetic moment = 0.00 μB per atom

(b)
! Pr6AgRu2 (PBE, relaxed); values from VASP
&SYSTEM
  ibrav = 0, nat = 9, ntyp = 3
/
ATOMIC_SPECIES
Pr 140.91 Pr.upf
Ag 107.87 Ag.upf
Ru 101.07 Ru.upf
ATOMIC_POSITIONS crystal
Pr 0.042 0.042 0.340
Pr 0.287 0.287 0.663
Pr 0.346 0.346 0.108
Pr 0.654 0.654 0.892
Pr 0.713 0.713 0.337
Pr 0.958 0.958 0.660
Ag 0.000 0.000 0.000
Ru 0.391 0.391 0.399
Ru 0.609 0.609 0.601
CELL_PARAMETERS angstrom
5.140 -2.686 0.000
5.140 2.686 0.000
-1.536 0.000 9.061
! crystal system = monoclinic
! magnetic moment = 0.00 μB per atom

Of them, the most stable is (a) and the least stable is (b).

(a)
! Pr4AgRu (PBE, relaxed); values from VASP
&SYSTEM
  ibrav = 0, nat = 12, ntyp = 3
/
ATOMIC_SPECIES
Pr 140.91 Pr.upf
Ag 107.87 Ag.upf
Ru 101.07 Ru.upf
ATOMIC_POSITIONS crystal
Pr 0.064 0.724 0.961
Pr 0.214 0.377 0.590
Pr 0.276 0.936 0.539
Pr 0.377 0.214 0.090
Pr 0.623 0.786 0.910
Pr 0.724 0.064 0.461
Pr 0.786 0.623 0.410
Pr 0.936 0.276 0.039
Ag 0.374 0.626 0.250
Ag 0.626 0.374 0.750
Ru 0.001 0.999 0.750
Ru 0.999 0.001 0.250
CELL_PARAMETERS angstrom
4.403 -6.506 0.000
4.403 6.506 0.000
-1.782 0.000 6.201
! crystal system = monoclinic
! magnetic moment = 0.00 μB per atom

(b)
! Pr4AgRu (PBE, relaxed); values from VASP
&SYSTEM
  ibrav = 0, nat = 24, ntyp = 3
/
ATOMIC_SPECIES
Pr 140.91 Pr.upf
Ag 107.87 Ag.upf
Ru 101.07 Ru.upf
ATOMIC_POSITIONS crystal
Pr 0.189 0.189 0.811
Pr 0.189 0.811 0.189
Pr 0.189 0.811 0.811
Pr 0.402 0.402 0.402
Pr 0.402 0.402 0.793
Pr 0.402 0.793 0.402
Pr 0.559 0.559 0.941
Pr 0.559 0.941 0.559
Pr 0.559 0.941 0.941
Pr 0.793 0.402 0.402
Pr 0.811 0.189 0.189
Pr 0.811 0.189 0.811
Pr 0.811 0.811 0.189
Pr 0.941 0.559 0.559
Pr 0.941 0.559 0.941
Pr 0.941 0.941 0.559
Ag 0.170 0.170 0.170
Ag 0.170 0.170 0.491
Ag 0.170 0.491 0.170
Ag 0.491 0.170 0.170
Ru 0.165 0.612 0.612
Ru 0.612 0.165 0.612
Ru 0.612 0.612 0.165
Ru 0.612 0.612 0.612
CELL_PARAMETERS angstrom
0.000 7.018 7.018
7.018 0.000 7.018
7.018 7.018 0.000
! crystal system = cubic
! magnetic moment = 0.00 μB per atom

Of them, the most stable is (b) and the least stable is (a).

(a)
! PrSmAgRu (PBE, relaxed); values from VASP
&SYSTEM
  ibrav = 0, nat = 4, ntyp = 4
/
ATOMIC_SPECIES
Pr 140.91 Pr.upf
Sm 150.36 Sm.upf
Ag 107.87 Ag.upf
Ru 101.07 Ru.upf
ATOMIC_POSITIONS crystal
Pr 0.000 0.000 0.000
Sm 0.500 0.500 0.500
Ag 0.750 0.750 0.750
Ru 0.250 0.250 0.250
CELL_PARAMETERS angstrom
0.000 3.614 3.614
3.614 0.000 3.614
3.614 3.614 0.000
! crystal system = cubic
! magnetic moment = 0.00 μB per atom

(b)
! PrSmAgRu (PBE, relaxed); values from VASP
&SYSTEM
  ibrav = 0, nat = 4, ntyp = 4
/
ATOMIC_SPECIES
Pr 140.91 Pr.upf
Sm 150.36 Sm.upf
Ag 107.87 Ag.upf
Ru 101.07 Ru.upf
ATOMIC_POSITIONS crystal
Pr 0.000 0.000 0.000
Sm 0.000 0.000 0.553
Ag 0.500 0.500 0.287
Ru 0.500 0.500 0.770
CELL_PARAMETERS angstrom
3.520 0.000 0.000
0.000 3.520 0.000
0.000 0.000 7.752
! crystal system = tetragonal
! magnetic moment = 0.00 μB per atom

Of them, the most stable is (b) and the least stable is (a).

(a)
! PrTmAgRu (PBE, relaxed); values from VASP
&SYSTEM
  ibrav = 0, nat = 4, ntyp = 4
/
ATOMIC_SPECIES
Pr 140.91 Pr.upf
Tm 168.93 Tm.upf
Ag 107.87 Ag.upf
Ru 101.07 Ru.upf
ATOMIC_POSITIONS crystal
Pr 0.000 0.000 0.000
Tm 0.500 0.500 0.500
Ag 0.250 0.250 0.250
Ru 0.750 0.750 0.750
CELL_PARAMETERS angstrom
0.000 3.560 3.560
3.560 0.000 3.560
3.560 3.560 0.000
! crystal system = cubic
! magnetic moment = 0.00 μB per atom

(b)
! PrTmAgRu (PBE, relaxed); values from VASP
&SYSTEM
  ibrav = 0, nat = 4, ntyp = 4
/
ATOMIC_SPECIES
Pr 140.91 Pr.upf
Tm 168.93 Tm.upf
Ag 107.87 Ag.upf
Ru 101.07 Ru.upf
ATOMIC_POSITIONS crystal
Pr 0.000 0.000 0.000
Tm 0.000 0.000 0.554
Ag 0.500 0.500 0.303
Ru 0.500 0.500 0.760
CELL_PARAMETERS angstrom
3.456 0.000 0.000
0.000 3.456 0.000
0.000 0.000 7.646
! crystal system = tetragonal
! magnetic moment = 0.00 μB per atom

Of them, the most stable is (b) and the least stable is (a).